{"formula": "KFe2Tc", "functional": "PBE-GGA", "state": "relaxed", "lattice_angstrom": [[2.758, 0.000, 0.000], [0.000, 3.702, 0.000], [-0.102, 0.000, 7.608]], "species": ["K", "Fe", "Fe", "Tc"], "frac_coords": [[0.000, 0.000, 0.000], [0.493, 0.500, 0.350], [0.507, 0.500, 0.650], [0.000, 0.000, 0.500]], "dft_energy_ev_per_cell": -25.6, "ef_kcal_per_mol_atoms": 16.103, "spacegroup": "No. 10"}